Record 1
# Cs2ZnAg2 | Alexandria via LeMat-Bulk | PBE | relaxed
data_Cs2ZnAg2
_symmetry_space_group_name_H-M 'R -3 m'
_symmetry_Int_Tables_number 166
_symmetry_space_group_name_Hall '-R 3 2"'
_cell_length_a 4.7753
_cell_length_b 4.7753
_cell_length_c 33.8910
_cell_angle_alpha 90.00
_cell_angle_beta 90.00
_cell_angle_gamma 120.00
loop_
_atom_site_label
_atom_site_type_symbol
_atom_site_fract_x
_atom_site_fract_y
_atom_site_fract_z
Cs1 Cs 0.0000 0.0000 0.0746
Zn1 Zn 0.0000 0.0000 0.5000
Ag1 Ag 0.0000 0.0000 0.1773
# final energy	-8.7	eV per formula unit
# energy of formation	-3	meV per atom

Record 2
# LaPu2Zn9 | Alexandria via LeMat-Bulk | PBE | relaxed
data_LaPu2Zn9
_symmetry_space_group_name_H-M 'R -3 m'
_symmetry_Int_Tables_number 166
_symmetry_space_group_name_Hall '-R 3 2"'
_cell_length_a 5.4349
_cell_length_b 5.4349
_cell_length_c 26.4924
_cell_angle_alpha 90.00
_cell_angle_beta 90.00
_cell_angle_gamma 120.00
loop_
_atom_site_label
_atom_site_type_symbol
_atom_site_fract_x
_atom_site_fract_y
_atom_site_fract_z
La1 La 0.0000 0.0000 0.0000
Pu1 Pu 0.0000 0.0000 0.1489
Zn1 Zn 0.0000 0.0000 0.3354
Zn2 Zn 0.0000 0.0000 0.5000
Zn3 Zn 0.0031 0.5016 0.9176
# final energy	-47.7	eV per formula unit
# energy of formation	-221	meV per atom

Record 3
# La2TeC | Alexandria via LeMat-Bulk | PBE | relaxed
data_La2TeC
_symmetry_space_group_name_H-M 'R -3 m'
_symmetry_Int_Tables_number 166
_symmetry_space_group_name_Hall '-R 3 2"'
_cell_length_a 4.1034
_cell_length_b 4.1034
_cell_length_c 22.2689
_cell_angle_alpha 90.00
_cell_angle_beta 90.00
_cell_angle_gamma 120.00
loop_
_atom_site_label
_atom_site_type_symbol
_atom_site_fract_x
_atom_site_fract_y
_atom_site_fract_z
La1 La 0.0000 0.0000 0.2314
Te1 Te 0.0000 0.0000 0.0000
C1 C 0.0000 0.0000 0.5000
# final energy	-25.3	eV per formula unit

Record 4
# MgZrBe2 | Alexandria via LeMat-Bulk | PBE | relaxed
data_MgZrBe2
_symmetry_space_group_name_H-M 'P 4/m m m'
_symmetry_Int_Tables_number 123
_symmetry_space_group_name_Hall '-P 4 2'
_cell_length_a 4.304
_cell_length_b 4.304
_cell_length_c 3.307
_cell_angle_alpha 90.00
_cell_angle_beta 90.00
_cell_angle_gamma 90.00
loop_
_atom_site_label
_atom_site_type_symbol
_atom_site_fract_x
_atom_site_fract_y
_atom_site_fract_z
Mg1 Mg 0.000 0.000 0.000
Zr1 Zr 0.500 0.500 0.000
Be1 Be 0.000 0.500 0.500
# final energy	-17.3	eV per formula unit
# energy of formation	64	meV per atom

Record 5
# CaTe2Os | Alexandria via LeMat-Bulk | PBE | relaxed
data_CaTe2Os
_symmetry_space_group_name_H-M 'P 4/m m m'
_symmetry_Int_Tables_number 123
_symmetry_space_group_name_Hall '-P 4 2'
_cell_length_a 3.472
_cell_length_b 3.472
_cell_length_c 7.605
_cell_angle_alpha 90.00
_cell_angle_beta 90.00
_cell_angle_gamma 90.00
loop_
_atom_site_label
_atom_site_type_symbol
_atom_site_fract_x
_atom_site_fract_y
_atom_site_fract_z
Ca1 Ca 0.000 0.000 0.000
Te1 Te 0.500 0.500 0.288
Os1 Os 0.000 0.000 0.500
# final energy	-18.7	eV per formula unit

Record 6
# Ta2TiRe | Alexandria via LeMat-Bulk | PBE | relaxed
data_Ta2TiRe
_symmetry_space_group_name_H-M 'P 4/m m m'
_symmetry_Int_Tables_number 123
_symmetry_space_group_name_Hall '-P 4 2'
_cell_length_a 3.192
_cell_length_b 3.192
_cell_length_c 6.650
_cell_angle_alpha 90.00
_cell_angle_beta 90.00
_cell_angle_gamma 90.00
loop_
_atom_site_label
_atom_site_type_symbol
_atom_site_fract_x
_atom_site_fract_y
_atom_site_fract_z
Ta1 Ta 0.000 0.000 0.238
Ti1 Ti 0.500 0.500 0.500
Re1 Re 0.500 0.500 0.000
# final energy	-44.9	eV per formula unit
# energy of formation	-201	meV per atom

Record 7
# BeRuSeBr2 | Alexandria via LeMat-Bulk | PBE | relaxed
data_BeRuSeBr2
_symmetry_space_group_name_H-M 'P 4/m m m'
_symmetry_Int_Tables_number 123
_symmetry_space_group_name_Hall '-P 4 2'
_cell_length_a 4.653
_cell_length_b 4.653
_cell_length_c 4.960
_cell_angle_alpha 90.00
_cell_angle_beta 90.00
_cell_angle_gamma 90.00
loop_
_atom_site_label
_atom_site_type_symbol
_atom_site_fract_x
_atom_site_fract_y
_atom_site_fract_z
Be1 Be 0.000 0.000 0.000
Ru1 Ru 0.500 0.500 0.500
Se1 Se 0.000 0.000 0.500
Br1 Br 0.000 0.500 0.000
# final energy	-16.6	eV per formula unit

Record 8
# TbGdZnAu | Alexandria via LeMat-Bulk | PBE | relaxed
data_TbGdZnAu
_symmetry_space_group_name_H-M 'F -4 3 m'
_symmetry_Int_Tables_number 216
_symmetry_space_group_name_Hall 'F -4 2 3'
_cell_length_a 7.233
_cell_length_b 7.233
_cell_length_c 7.233
_cell_angle_alpha 90.00
_cell_angle_beta 90.00
_cell_angle_gamma 90.00
loop_
_atom_site_label
_atom_site_type_symbol
_atom_site_fract_x
_atom_site_fract_y
_atom_site_fract_z
Tb1 Tb 0.000 0.000 0.000
Gd1 Gd 0.000 0.000 0.500
Zn1 Zn 0.250 0.250 0.750
Au1 Au 0.250 0.250 0.250
# final energy	-25.6	eV per formula unit
# energy of formation	-580	meV per atom

| no. | magnetization (μB per formula unit) | calculated volume (Å³/atom) |
| --- | --- | --- |
| 1 | 0.00 | 44.62 |
| 2 | 11.30 | 18.82 |
| 3 | 0.00 | 27.06 |
| 4 | 0.00 | 15.32 |
| 5 | 0.00 | 22.92 |
| 6 | 0.00 | 16.94 |
| 7 | 3.77 | 21.48 |
| 8 | 7.05 | 23.65 |